#P
A plane-wave DFT calculation with GGA-PBE was carried out for a geometry-optimized Zr2CdBi2 structure.

```
Zr2CdBi2
1.0
8.259 0.000 0.000
0.000 8.259 0.000
0.000 0.000 3.804
Zr Cd Bi
4 2 4
Direct
0.136 0.364 0.000
0.364 0.864 0.000
0.636 0.136 0.000
0.864 0.636 0.000
0.000 0.000 0.500
0.500 0.500 0.500
0.155 0.655 0.500
0.345 0.155 0.500
0.655 0.845 0.500
0.845 0.345 0.500
```

Results
Its symmetry is P4/mbm.

=====

#Q
A plane-wave DFT calculation with GGA-PBE was carried out for a geometry-optimized Zr2CdBi2 structure.

```
Zr2CdBi2
1.0
8.065 0.000 0.000
0.000 8.065 0.000
0.000 0.000 3.951
Zr Cd Bi
4 2 4
Direct
0.140 0.360 0.000
0.360 0.860 0.000
0.640 0.140 0.000
0.860 0.640 0.000
0.000 0.000 0.000
0.500 0.500 0.000
0.157 0.657 0.500
0.343 0.157 0.500
0.657 0.843 0.500
0.843 0.343 0.500
```

Results
Its symmetry is P4/mbm.

=====

Short version: #Q, #P, most stable first.

=====

#P
A plane-wave DFT calculation with GGA-PBE was carried out for a geometry-optimized ZrCd2Bi2 structure.

```
ZrCd2Bi2
1.0
8.059 0.000 0.000
0.000 8.059 0.000
0.000 0.000 4.025
Zr Cd Bi
2 4 4
Direct
0.000 0.000 0.000
0.500 0.500 0.000
0.126 0.374 0.000
0.374 0.874 0.000
0.626 0.126 0.000
0.874 0.626 0.000
0.178 0.678 0.500
0.322 0.178 0.500
0.678 0.822 0.500
0.822 0.322 0.500
```

Results
Its symmetry is P4/mbm.

=====

#Q
A plane-wave DFT calculation with GGA-PBE was carried out for a geometry-optimized ZrCd2Bi2 structure.

```
ZrCd2Bi2
1.0
7.948 0.000 0.000
0.000 7.948 0.000
0.000 0.000 4.305
Zr Cd Bi
2 4 4
Direct
0.000 0.000 0.000
0.500 0.500 0.000
0.154 0.346 0.500
0.346 0.846 0.500
0.654 0.154 0.500
0.846 0.654 0.500
0.155 0.655 0.000
0.345 0.155 0.000
0.655 0.845 0.000
0.845 0.345 0.000
```

Results
Its symmetry is P4/mbm.

=====

Short version: #Q, #P, most stable first.